1.
A geometry-optimized Sc4CuOs structure. Source: Alexandria, functional PBE.

Summary:
* offset from the most stable computed form: 0.8369 eV per atom
* theoretical density: 6.3 g/cm³
* total magnetization: 0.00 μB per formula unit

Unit cell a=5.4377 b=5.4377 c=5.4377 alpha=60.00 beta=60.00 gamma=60.00
Fractional positions:
Sc 0.3732 0.3732 0.3732
Os 0.0000 0.0000 0.0000
Sc 0.8805 0.3732 0.3732
Cu 0.7500 0.7500 0.7500
Sc 0.3732 0.3732 0.8805
Sc 0.3732 0.8805 0.3732

---

2.
A geometry-optimized Sc5CuOs4 structure. Source: Alexandria, functional PBE.

Summary:
* electronic total energy: -8.43 eV per atom
* theoretical density: 10.3 g/cm³
* total magnetization: 0.00 μB per formula unit

Unit cell a=3.2423 b=3.2423 c=16.1121 alpha=90.00 beta=90.00 gamma=90.00
Fractional positions:
Os 0.0000 0.0000 0.4003
Os 0.0000 0.0000 0.1980
Sc 0.5000 0.5000 0.6979
Sc 0.5000 0.5000 0.8930
Sc 0.5000 0.5000 0.3021
Os 0.0000 0.0000 0.8020
Os 0.0000 0.0000 0.5997
Sc 0.5000 0.5000 0.1070
Cu 0.0000 0.0000 0.0000
Sc 0.5000 0.5000 0.5000

---

3.
A geometry-optimized ScCu2Os2 structure. Source: Alexandria, functional PBE.

Summary:
* electronic total energy: -7.06 eV per atom
* theoretical density: 11.2 g/cm³
* total magnetization: 0.00 μB per formula unit

Unit cell a=3.7831 b=3.7831 c=6.3130 alpha=72.56 beta=72.56 gamma=90.00
Fractional positions:
Sc 0.0000 0.0000 0.0000
Os 0.6007 0.6007 0.7986
Cu 0.7500 0.2500 0.5000
Os 0.3993 0.3993 0.2014
Cu 0.2500 0.7500 0.5000

---

4.
A geometry-optimized ScCu4Os structure. Source: Alexandria, functional PBE.

Summary:
* electronic total energy: -5.67 eV per atom
* theoretical density: 10.0 g/cm³
* total magnetization: 0.00 μB per formula unit

Unit cell a=4.8597 b=4.8597 c=4.8597 alpha=60.00 beta=60.00 gamma=60.00
Fractional positions:
Os 0.7500 0.7500 0.7500
Cu 0.3755 0.8735 0.3755
Cu 0.3755 0.3755 0.3755
Cu 0.8735 0.3755 0.3755
Cu 0.3755 0.3755 0.8735
Sc 0.0000 0.0000 0.0000

---

5.
A geometry-optimized Sc4CuOs structure. Source: Alexandria, functional PBE.

Summary:
* offset from the most stable computed form: 0.0000 eV per atom
* theoretical density: 5.9 g/cm³
* total magnetization: 0.00 μB per formula unit

Unit cell a=3.2361 b=3.2361 c=11.5840 alpha=90.00 beta=90.00 gamma=90.00
Fractional positions:
Sc 0.5000 0.5000 0.1393
Sc 0.0000 0.0000 0.6330
Sc 0.0000 0.0000 0.3670
Os 0.5000 0.5000 0.5000
Cu 0.0000 0.0000 0.0000
Sc 0.5000 0.5000 0.8607

---

6.
A geometry-optimized Sc3CuOs structure. Source: Alexandria, functional PBE.

Summary:
* offset from the most stable computed form: 0.0000 eV per atom
* theoretical density: 5.2 g/cm³
* total magnetization: 0.00 μB per formula unit

Unit cell a=5.0011 b=5.0011 c=5.0011 alpha=90.00 beta=90.00 gamma=90.00
Fractional positions:
Os 0.0000 0.0000 0.0000
Sc 0.0000 0.0000 0.5000
Sc 0.0000 0.5000 0.0000
Cu 0.5000 0.5000 0.5000
Sc 0.5000 0.0000 0.0000

---

7.
A geometry-optimized Sc4Cu2Os structure. Source: Alexandria, functional PBE.

Summary:
* electronic total energy: -6.65 eV per atom
* theoretical density: 6.2 g/cm³
* total magnetization: 0.00 μB per formula unit

Unit cell a=4.5752 b=4.5752 c=7.8282 alpha=73.01 beta=73.01 gamma=60.00
Fractional positions:
Os 0.0000 0.0000 0.0000
Cu 0.2548 0.2548 0.2356
Sc 0.1239 0.1239 0.6283
Sc 0.8761 0.8761 0.3717
Cu 0.7452 0.7452 0.7644
Sc 0.6235 0.6235 0.1294
Sc 0.3765 0.3765 0.8706

---

8.
A geometry-optimized Sc2CuOs2 structure. Source: Alexandria, functional PBE.

Summary:
* electronic total energy: -7.99 eV per atom
* theoretical density: 10.1 g/cm³
* total magnetization: 0.00 μB per formula unit

Unit cell a=6.4963 b=6.4963 c=4.1578 alpha=90.00 beta=90.00 gamma=90.00
Fractional positions:
Os 0.3683 0.8683 0.0000
Sc 0.1755 0.6755 0.5000
Os 0.6317 0.1317 0.0000
Sc 0.8245 0.3245 0.5000
Cu 0.5000 0.5000 0.0000
Os 0.8683 0.6317 0.0000
Sc 0.3245 0.1755 0.5000
Sc 0.6755 0.8245 0.5000
Os 0.1317 0.3683 0.0000
Cu 0.0000 0.0000 0.0000

---

9.
A geometry-optimized ScCuSnOs structure. Source: Alexandria, functional PBE.

Summary:
* electronic total energy: -6.58 eV per atom
* theoretical density: 10.3 g/cm³
* total magnetization: 0.00 μB per formula unit

Unit cell a=4.5681 b=4.5681 c=4.5681 alpha=60.00 beta=60.00 gamma=60.00
Fractional positions:
Sn 0.2500 0.2500 0.2500
Os 0.0000 0.0000 0.0000
Cu 0.5000 0.5000 0.5000
Sc 0.7500 0.7500 0.7500

---

10.
A geometry-optimized ScCuSnOs2 structure. Source: Alexandria, functional PBE.

Summary:
* electronic total energy: -5.74 eV per atom
* theoretical density: 9.9 g/cm³
* total magnetization: 0.00 μB per formula unit

Unit cell a=4.7390 b=4.5466 c=4.7390 alpha=90.00 beta=90.00 gamma=90.00
Fractional positions:
Cu 0.0000 0.5000 0.0000
Os 0.0000 0.0000 0.5000
Os 0.5000 0.0000 0.0000
Sc 0.0000 0.0000 0.0000
Sn 0.5000 0.5000 0.5000

---

11.
A geometry-optimized ScTaCuOs structure. Source: Alexandria, functional PBE.

Summary:
* electronic total energy: -8.64 eV per atom
* theoretical density: 12.2 g/cm³
* total magnetization: 0.00 μB per formula unit

Unit cell a=4.5137 b=4.5137 c=4.5137 alpha=60.00 beta=60.00 gamma=60.00
Fractional positions:
Cu 0.2500 0.2500 0.2500
Os 0.7500 0.7500 0.7500
Sc 0.5000 0.5000 0.5000
Ta 0.0000 0.0000 0.0000

---

12.
A geometry-optimized ThScCuOs structure. Source: Alexandria, functional PBE.

Summary:
* electronic total energy: -7.51 eV per atom
* theoretical density: 10.9 g/cm³
* total magnetization: 0.00 μB per formula unit

Unit cell a=4.8502 b=4.8502 c=4.8502 alpha=60.00 beta=60.00 gamma=60.00
Fractional positions:
Os 0.7500 0.7500 0.7500
Sc 0.5000 0.5000 0.5000
Cu 0.2500 0.2500 0.2500
Th 0.0000 0.0000 0.0000

---

13.
A geometry-optimized ScTiCuOs structure. Source: Alexandria, functional PBE.

Summary:
* electronic total energy: -7.75 eV per atom
* theoretical density: 9.1 g/cm³
* total magnetization: 0.00 μB per formula unit

Unit cell a=4.4676 b=4.4676 c=4.4676 alpha=60.00 beta=60.00 gamma=60.00
Fractional positions:
Cu 0.7500 0.7500 0.7500
Os 0.2500 0.2500 0.2500
Sc 0.5000 0.5000 0.5000
Ti 0.0000 0.0000 0.0000

---

14.
A geometry-optimized ScTlCu2Os structure. Source: Alexandria, functional PBE.

Summary:
* electronic total energy: -4.37 eV per atom
* theoretical density: 8.4 g/cm³
* total magnetization: 0.00 μB per formula unit

Unit cell a=4.6578 b=5.1448 c=4.6578 alpha=90.00 beta=90.00 gamma=90.00
Fractional positions:
Tl 0.0000 0.0000 0.0000
Os 0.0000 0.5000 0.0000
Cu 0.0000 0.0000 0.5000
Cu 0.5000 0.0000 0.0000
Sc 0.5000 0.5000 0.5000

---

15.
A geometry-optimized TmScCuOs structure. Source: Alexandria, functional PBE.

Summary:
* electronic total energy: -6.88 eV per atom
* theoretical density: 10.7 g/cm³
* total magnetization: 0.00 μB per formula unit

Unit cell a=4.6823 b=4.6823 c=4.6823 alpha=60.00 beta=60.00 gamma=60.00
Fractional positions:
Cu 0.0000 0.0000 0.0000
Os 0.5000 0.5000 0.5000
Sc 0.2500 0.2500 0.2500
Tm 0.7500 0.7500 0.7500

---

16.
A geometry-optimized Sc4ZnCu2Os structure. Source: Alexandria, functional PBE.

Summary:
* electronic total energy: -6.13 eV per atom
* theoretical density: 6.7 g/cm³
* total magnetization: 0.00 μB per formula unit

Unit cell a=4.6238 b=4.6238 c=8.0391 alpha=73.29 beta=73.29 gamma=60.00
Fractional positions:
Sc 0.6204 0.6204 0.1388
Cu 0.2515 0.2515 0.2455
Sc 0.8710 0.8710 0.3870
Sc 0.1290 0.1290 0.6130
Sc 0.3796 0.3796 0.8612
Cu 0.7485 0.7485 0.7545
Zn 0.0000 0.0000 0.0000
Os 0.5000 0.5000 0.5000

---

17.
A geometry-optimized ZrScCuOs structure. Source: Alexandria, functional PBE.

Summary:
* electronic total energy: -7.94 eV per atom
* theoretical density: 9.3 g/cm³
* total magnetization: 0.00 μB per formula unit

Unit cell a=4.6151 b=4.6151 c=4.6151 alpha=60.00 beta=60.00 gamma=60.00
Fractional positions:
Cu 0.2500 0.2500 0.2500
Sc 0.5000 0.5000 0.5000
Zr 0.0000 0.0000 0.0000
Os 0.7500 0.7500 0.7500

---

18.
A geometry-optimized CuOsSe2 structure. Source: Alexandria, functional PBE.

Summary:
* uncorrected formation energy: 0.82 eV per atom
* offset from the most stable computed form: 0.6808 eV per atom
* theoretical density: 9.6 g/cm³
* total magnetization: 0.00 μB per formula unit

Unit cell a=3.3282 b=5.7248 c=3.7248 alpha=90.00 beta=90.00 gamma=90.00
Fractional positions:
Se 0.5000 0.5000 0.0000
Os 0.0000 0.5000 0.5000
Se 0.0000 0.0000 0.0000
Cu 0.5000 0.0000 0.5000

---

19.
A geometry-optimized CuOsSe2 structure. Source: Alexandria, functional PBE.

Summary:
* uncorrected formation energy: 0.45 eV per atom
* offset from the most stable computed form: 0.3089 eV per atom
* theoretical density: 11.0 g/cm³
* total magnetization: 0.00 μB per formula unit

Unit cell a=4.4473 b=4.4473 c=4.4473 alpha=60.00 beta=60.00 gamma=60.00
Fractional positions:
Os 0.5000 0.5000 0.5000
Cu 0.0000 0.0000 0.0000
Se 0.7500 0.7500 0.7500
Se 0.2500 0.2500 0.2500

---

20.
A geometry-optimized CuOsSe2 structure. Source: Alexandria, functional PBE.

Summary:
* uncorrected formation energy: 0.79 eV per atom
* offset from the most stable computed form: 0.6581 eV per atom
* theoretical density: 10.7 g/cm³
* total magnetization: 0.00 μB per formula unit

Unit cell a=5.1055 b=5.1055 c=5.1055 alpha=135.81 beta=135.81 gamma=64.27
Fractional positions:
Cu 0.5000 0.5000 0.0000
Se 0.0000 0.0000 0.0000
Se 0.2500 0.7500 0.5000
Os 0.7500 0.2500 0.5000

---

21.
A geometry-optimized CuOsSe4 structure. Source: Alexandria, functional PBE.

Summary:
* uncorrected formation energy: 1.44 eV per atom
* theoretical density: 7.9 g/cm³
* total magnetization: 2.85 μB per formula unit

Unit cell a=5.5288 b=5.5288 c=5.5288 alpha=60.00 beta=60.00 gamma=60.00
Fractional positions:
Cu 0.7500 0.7500 0.7500
Se 0.3746 0.3746 0.8763
Se 0.3746 0.8763 0.3746
Se 0.3746 0.3746 0.3746
Se 0.8763 0.3746 0.3746
Os 0.0000 0.0000 0.0000

---

22.
A geometry-optimized CuOsSe2 structure. Source: Alexandria, functional PBE.

Summary:
* uncorrected formation energy: 0.14 eV per atom
* offset from the most stable computed form: 0.0000 eV per atom
* theoretical density: 9.6 g/cm³
* total magnetization: 0.00 μB per formula unit

Unit cell a=3.9043 b=3.9043 c=8.7599 alpha=46.81 beta=46.81 gamma=61.19
Fractional positions:
Se 0.8596 0.8596 0.9704
Os 0.7500 0.7500 0.7500
Cu 0.2500 0.2500 0.2500
Se 0.6404 0.6404 0.5296

---

23.
A geometry-optimized CuOsSe2 structure. Source: Alexandria, functional PBE.

Summary:
* uncorrected formation energy: 0.19 eV per atom
* offset from the most stable computed form: 0.0525 eV per atom
* theoretical density: 7.8 g/cm³
* total magnetization: 0.00 μB per formula unit

Unit cell a=7.4510 b=7.4510 c=7.4510 alpha=29.23 beta=29.23 gamma=29.23
Fractional positions:
Se 0.1074 0.1074 0.1074
Se 0.8926 0.8926 0.8926
Os 0.5000 0.5000 0.5000
Cu 0.0000 0.0000 0.0000

---

24.
A geometry-optimized CuOs3Se structure. Source: Alexandria, functional PBE.

Summary:
* uncorrected formation energy: 1.93 eV per atom
* offset from the most stable computed form: 0.0000 eV per atom
* theoretical density: 12.9 g/cm³
* total magnetization: 1.58 μB per formula unit

Unit cell a=4.5153 b=4.5153 c=4.5153 alpha=90.00 beta=90.00 gamma=90.00
Fractional positions:
Os 0.5000 0.0000 0.0000
Se 0.0000 0.0000 0.0000
Os 0.0000 0.5000 0.0000
Cu 0.5000 0.5000 0.5000
Os 0.0000 0.0000 0.5000

---

25.
A geometry-optimized Cu2OsSe2 structure. Source: Alexandria, functional PBE.

Summary:
* uncorrected formation energy: 1.10 eV per atom
* offset from the most stable computed form: 0.4817 eV per atom
* theoretical density: 9.0 g/cm³
* total magnetization: 2.57 μB per formula unit

Unit cell a=3.6629 b=3.6629 c=6.9992 alpha=74.83 beta=74.83 gamma=90.00
Fractional positions:
Se 0.2500 0.7500 0.5000
Os 0.0000 0.0000 0.0000
Se 0.7500 0.2500 0.5000
Cu 0.5894 0.5894 0.8212
Cu 0.4106 0.4106 0.1788

---

26.
A geometry-optimized CuOsSe2 structure. Source: Alexandria, functional PBE.

Summary:
* uncorrected formation energy: 0.29 eV per atom
* offset from the most stable computed form: 0.1524 eV per atom
* theoretical density: 8.6 g/cm³
* total magnetization: 0.00 μB per formula unit

Unit cell a=4.1002 b=4.1002 c=7.2807 alpha=67.49 beta=67.49 gamma=45.79
Fractional positions:
Os 0.7240 0.7240 0.7149
Cu 0.5306 0.5306 0.4991
Se 0.2916 0.2916 0.3880
Se 0.9539 0.9539 0.8980

---

27.
A geometry-optimized CuOsSe2 structure. Source: Alexandria, functional PBE.

Summary:
* uncorrected formation energy: 0.68 eV per atom
* offset from the most stable computed form: 0.5462 eV per atom
* theoretical density: 10.1 g/cm³
* total magnetization: 0.00 μB per formula unit

Unit cell a=3.1199 b=3.1199 c=8.2537 alpha=90.00 beta=90.00 gamma=122.35
Fractional positions:
Os 0.5000 0.5000 0.7500
Se 0.0000 0.0000 0.5028
Se 0.0000 0.0000 0.9972
Cu 0.5000 0.5000 0.2500

---

28.
A geometry-optimized CuOs3Se structure. Source: Alexandria, functional PBE.

Summary:
* uncorrected formation energy: 2.30 eV per atom
* offset from the most stable computed form: 0.3676 eV per atom
* theoretical density: 13.2 g/cm³
* total magnetization: 0.00 μB per formula unit

Unit cell a=4.4780 b=4.4780 c=4.4780 alpha=90.00 beta=90.00 gamma=90.00
Fractional positions:
Os 0.0000 0.0000 0.5000
Cu 0.0000 0.0000 0.0000
Os 0.0000 0.5000 0.0000
Se 0.5000 0.5000 0.5000
Os 0.5000 0.0000 0.0000

---

29.
A geometry-optimized CuOsSe2 structure. Source: Alexandria, functional PBE.

Summary:
* uncorrected formation energy: 0.50 eV per atom
* offset from the most stable computed form: 0.3681 eV per atom
* theoretical density: 9.3 g/cm³
* total magnetization: 0.00 μB per formula unit

Unit cell a=2.9018 b=2.9018 c=10.0334 alpha=90.00 beta=90.00 gamma=119.76
Fractional positions:
Se 0.5000 0.5000 0.3132
Cu 0.0000 0.0000 0.5184
Se 0.0000 0.0000 0.9342
Os 0.5000 0.5000 0.7342